# CaAlAg2 (PBE-GGA, relaxed)
# Total energy ... -3.10 eV/atom
# Spin magnetization ... 0.00 μB per cell
# Density ... 5.3 g cm⁻³
# E_form ... -0.240 eV per atom
data_CaAlAg2
_chemical_formula_sum 'Ca3 Al3 Ag6'
_symmetry_space_group_name_H-M 'R -3 m'
_symmetry_Int_Tables_number 166
_symmetry_space_group_name_Hall '-R 3 2"'
_cell_length_a 4.6029
_cell_length_b 4.6029
_cell_length_c 14.4739
_cell_angle_alpha 90.00
_cell_angle_beta 90.00
_cell_angle_gamma 120.00
loop_
_atom_site_label
_atom_site_fract_x
_atom_site_fract_y
_atom_site_fract_z
Ca1 0.0000 0.0000 0.0000
Al1 0.0000 0.0000 0.5000
Ag1 0.0000 0.0000 0.2096

=====

# Ir2OsRu (PBE-GGA, relaxed)
# Total energy ... -8.88 eV/atom
# Spin magnetization ... 6.63 μB per cell
# Density ... 18.9 g cm⁻³
# E_form ... 0.677 eV per atom
data_Ir2OsRu
_chemical_formula_sum 'Ir8 Os4 Ru4'
_symmetry_space_group_name_H-M 'F m -3 m'
_symmetry_Int_Tables_number 225
_symmetry_space_group_name_Hall '-F 4 2 3'
_cell_length_a 6.195
_cell_length_b 6.195
_cell_length_c 6.195
_cell_angle_alpha 90.00
_cell_angle_beta 90.00
_cell_angle_gamma 90.00
loop_
_atom_site_label
_atom_site_fract_x
_atom_site_fract_y
_atom_site_fract_z
Ir1 0.250 0.250 0.250
Os1 0.000 0.000 0.000
Ru1 0.000 0.000 0.500

=====

# K5Rb3Na3 (PBE-GGA, relaxed)
# Total energy ... -1.05 eV/atom
# Spin magnetization ... 0.00 μB per cell
# Density ... 1.1 g cm⁻³
# E_form ... 0.077 eV per atom
data_K5Rb3Na3
_chemical_formula_sum 'K5 Rb3 Na3'
_symmetry_space_group_name_H-M 'P -6 2 m'
_symmetry_Int_Tables_number 189
_symmetry_space_group_name_Hall 'P -6 -2'
_cell_length_a 14.2027
_cell_length_b 14.2027
_cell_length_c 4.4782
_cell_angle_alpha 90.00
_cell_angle_beta 90.00
_cell_angle_gamma 120.00
loop_
_atom_site_label
_atom_site_fract_x
_atom_site_fract_y
_atom_site_fract_z
K1 0.0000 0.3229 0.0000
K2 0.3333 0.6667 0.0000
Rb1 0.0000 0.6179 0.5000
Na1 0.0000 0.8600 0.0000

=====

# Cs3Er3MnTe8 (PBE-GGA, relaxed)
# Total energy ... -4.45 eV/atom
# Spin magnetization ... 6.22 μB per cell
# Formation energy (no corrections) ... -1.08 eV/atom
# Density ... 5.4 g cm⁻³
data_Cs3Er3MnTe8
_chemical_formula_sum 'Cs6 Er6 Mn2 Te16'
_symmetry_space_group_name_H-M 'C 1 2/m 1'
_symmetry_Int_Tables_number 12
_cell_length_a 15.141
_cell_length_b 8.734
_cell_length_c 10.452
_cell_angle_alpha 90.00
_cell_angle_beta 118.91
_cell_angle_gamma 90.00
loop_
_symmetry_equiv_pos_as_xyz
'x,y,z'
'-x,-y,-z'
'-x,y,-z'
'x,-y,z'
'x+1/2,y+1/2,z'
'-x+1/2,-y+1/2,-z'
'-x+1/2,y+1/2,-z'
'x+1/2,-y+1/2,z'
loop_
_atom_site_label
_atom_site_fract_x
_atom_site_fract_y
_atom_site_fract_z
Cs1 0.000 0.000 0.000
Cs2 0.250 0.250 0.000
Er1 0.000 0.500 0.500
Er2 0.250 0.250 0.500
Mn1 0.000 0.000 0.500
Te1 0.018 0.231 0.324
Te2 0.213 0.000 0.676
Te3 0.230 0.500 0.690

=====

# Ni3H2Pt (PBE-GGA, relaxed)
# Total energy ... -5.04 eV/atom
# Spin magnetization ... 0.02 μB per cell
# Density ... 11.5 g cm⁻³
data_Ni3H2Pt
_chemical_formula_sum 'Ni12 H8 Pt4'
_symmetry_space_group_name_H-M 'C m c m'
_symmetry_Int_Tables_number 63
_symmetry_space_group_name_Hall '-C 2c 2'
_cell_length_a 7.450
_cell_length_b 7.496
_cell_length_c 3.871
_cell_angle_alpha 90.00
_cell_angle_beta 90.00
_cell_angle_gamma 90.00
loop_
_atom_site_label
_atom_site_fract_x
_atom_site_fract_y
_atom_site_fract_z
Ni1 0.000 0.129 0.250
Ni2 0.242 0.367 0.250
H1 0.136 0.000 0.000
Pt1 0.000 0.370 0.750

=====

# Sc3HgO (PBE-GGA, relaxed)
# Total energy ... -6.11 eV/atom
# Spin magnetization ... 0.00 μB per cell
# Formation energy (no corrections) ... -1.26 eV/atom
# Density ... 5.6 g cm⁻³
data_Sc3HgO
_chemical_formula_sum 'Sc6 Hg2 O2'
_symmetry_space_group_name_H-M 'P m m n'
_symmetry_Int_Tables_number 59
_cell_length_a 3.436
_cell_length_b 6.381
_cell_length_c 9.443
_cell_angle_alpha 90.00
_cell_angle_beta 90.00
_cell_angle_gamma 90.00
loop_
_symmetry_equiv_pos_as_xyz
'x,y,z'
'-x,-y,-z'
'-x+1/2,-y+1/2,z'
'x+1/2,y+1/2,-z'
'x+1/2,-y,-z'
'-x+1/2,y,z'
'-x,y+1/2,-z'
'x,-y+1/2,z'
loop_
_atom_site_label
_atom_site_fract_x
_atom_site_fract_y
_atom_site_fract_z
Sc1 0.250 0.001 0.146
Sc2 0.250 0.750 0.592
Hg1 0.250 0.250 0.664
O1 0.250 0.250 0.280

=====

# SrPr2Nd (PBE-GGA, relaxed)
# Total energy ... -3.87 eV/atom
# Spin magnetization ... 0.00 μB per cell
# Density ... 5.5 g cm⁻³
# E_form ... 0.136 eV per atom
data_SrPr2Nd
_chemical_formula_sum 'Sr1 Pr2 Nd1'
_symmetry_space_group_name_H-M 'P 4/m m m'
_symmetry_Int_Tables_number 123
_symmetry_space_group_name_Hall '-P 4 2'
_cell_length_a 5.374
_cell_length_b 5.374
_cell_length_c 5.357
_cell_angle_alpha 90.00
_cell_angle_beta 90.00
_cell_angle_gamma 90.00
loop_
_atom_site_label
_atom_site_fract_x
_atom_site_fract_y
_atom_site_fract_z
Sr1 0.000 0.000 0.000
Pr1 0.000 0.500 0.500
Nd1 0.500 0.500 0.000

=====

# DyY2Th (PBE-GGA, relaxed)
# Total energy ... -6.20 eV/atom
# Spin magnetization ... 0.00 μB per cell
# Density ... 7.3 g cm⁻³
# E_form ... 0.039 eV per atom
data_DyY2Th
_chemical_formula_sum 'Dy2 Y4 Th2'
_symmetry_space_group_name_H-M 'P -1'
_symmetry_Int_Tables_number 2
_cell_length_a 3.551
_cell_length_b 6.793
_cell_length_c 11.116
_cell_angle_alpha 90.73
_cell_angle_beta 90.01
_cell_angle_gamma 105.07
loop_
_symmetry_equiv_pos_as_xyz
'x,y,z'
'-x,-y,-z'
loop_
_atom_site_label
_atom_site_fract_x
_atom_site_fract_y
_atom_site_fract_z
Dy1 0.131 0.262 0.485
Y1 0.254 0.509 0.754
Y2 0.481 0.962 0.254
Th1 0.128 0.254 0.014

=====

# CuNiI3 (PBE-GGA, relaxed)
# Total energy ... -2.92 eV/atom
# Spin magnetization ... 5.69 μB per cell
# Formation energy (no corrections) ... -0.01 eV/atom
# Density ... 5.3 g cm⁻³
data_CuNiI3
_chemical_formula_sum 'Cu4 Ni4 I12'
_symmetry_space_group_name_H-M 'C 1 2/m 1'
_symmetry_Int_Tables_number 12
_cell_length_a 21.395
_cell_length_b 3.963
_cell_length_c 7.564
_cell_angle_alpha 90.00
_cell_angle_beta 100.57
_cell_angle_gamma 90.00
loop_
_symmetry_equiv_pos_as_xyz
'x,y,z'
'-x,-y,-z'
'-x,y,-z'
'x,-y,z'
'x+1/2,y+1/2,z'
'-x+1/2,-y+1/2,-z'
'-x+1/2,y+1/2,-z'
'x+1/2,-y+1/2,z'
loop_
_atom_site_label
_atom_site_fract_x
_atom_site_fract_y
_atom_site_fract_z
Cu1 0.091 0.000 0.336
Ni1 0.117 0.500 0.833
I1 0.004 0.500 0.249
I2 0.150 0.000 0.039
I3 0.159 0.500 0.541

=====

# BaSrZn2 (PBE-GGA, relaxed)
# Total energy ... -1.71 eV/atom
# Spin magnetization ... 0.00 μB per cell
# Density ... 4.6 g cm⁻³
# E_form ... -0.170 eV per atom
data_BaSrZn2
_chemical_formula_sum 'Ba1 Sr1 Zn2'
_symmetry_space_group_name_H-M 'P 1 2/m 1'
_symmetry_Int_Tables_number 10
_cell_length_a 3.983
_cell_length_b 4.015
_cell_length_c 8.046
_cell_angle_alpha 90.00
_cell_angle_beta 90.08
_cell_angle_gamma 90.00
loop_
_symmetry_equiv_pos_as_xyz
'x,y,z'
'-x,-y,-z'
'-x,y,-z'
'x,-y,z'
loop_
_atom_site_label
_atom_site_fract_x
_atom_site_fract_y
_atom_site_fract_z
Ba1 0.000 0.000 0.000
Sr1 0.000 0.000 0.500
Zn1 0.499 0.500 0.733

=====

# Ho2PuAg (PBE-GGA, relaxed)
# Total energy ... -6.63 eV/atom
# Spin magnetization ... 6.52 μB per cell
# Density ... 10.6 g cm⁻³
# E_form ... -0.050 eV per atom
data_Ho2PuAg
_chemical_formula_sum 'Ho2 Pu1 Ag1'
_symmetry_space_group_name_H-M 'P 4/m m m'
_symmetry_Int_Tables_number 123
_symmetry_space_group_name_Hall '-P 4 2'
_cell_length_a 3.517
_cell_length_b 3.517
_cell_length_c 8.598
_cell_angle_alpha 90.00
_cell_angle_beta 90.00
_cell_angle_gamma 90.00
loop_
_atom_site_label
_atom_site_fract_x
_atom_site_fract_y
_atom_site_fract_z
Ho1 0.000 0.000 0.219
Pu1 0.500 0.500 0.500
Ag1 0.500 0.500 0.000

=====

# Rb3Zn6Sb5 (PBE-GGA, relaxed)
# Total energy ... -2.42 eV/atom
# Spin magnetization ... 0.00 μB per cell
# Formation energy (no corrections) ... -0.20 eV/atom
# Density ... 5.3 g cm⁻³
data_Rb3Zn6Sb5
_chemical_formula_sum 'Rb6 Zn12 Sb10'
_symmetry_space_group_name_H-M 'P m m n'
_symmetry_Int_Tables_number 59
_cell_length_a 4.629
_cell_length_b 14.229
_cell_length_c 11.970
_cell_angle_alpha 90.00
_cell_angle_beta 90.00
_cell_angle_gamma 90.00
loop_
_symmetry_equiv_pos_as_xyz
'x,y,z'
'-x,-y,-z'
'-x+1/2,-y+1/2,z'
'x+1/2,y+1/2,-z'
'x+1/2,-y,-z'
'-x+1/2,y,z'
'-x,y+1/2,-z'
'x,-y+1/2,z'
loop_
_atom_site_label
_atom_site_fract_x
_atom_site_fract_y
_atom_site_fract_z
Rb1 0.250 0.103 0.245
Rb2 0.250 0.750 0.258
Zn1 0.250 0.060 0.877
Zn2 0.250 0.250 0.525
Zn3 0.250 0.250 0.983
Zn4 0.250 0.579 0.488
Sb1 0.250 0.074 0.643
Sb2 0.250 0.609 0.004
Sb3 0.250 0.750 0.599

=====

# NbV3Ir (PBE-GGA, relaxed)
# Total energy ... -7.71 eV/atom
# Spin magnetization ... 0.50 μB per cell
# Density ... 8.1 g cm⁻³
# E_form ... 1.551 eV per atom
data_NbV3Ir
_chemical_formula_sum 'Nb1 V3 Ir1'
_symmetry_space_group_name_H-M 'P m -3 m'
_symmetry_Int_Tables_number 221
_symmetry_space_group_name_Hall '-P 4 2 3'
_cell_length_a 4.477
_cell_length_b 4.477
_cell_length_c 4.477
_cell_angle_alpha 90.00
_cell_angle_beta 90.00
_cell_angle_gamma 90.00
loop_
_atom_site_label
_atom_site_fract_x
_atom_site_fract_y
_atom_site_fract_z
Nb1 0.000 0.000 0.000
V1 0.000 0.000 0.500
Ir1 0.500 0.500 0.500

=====

# CeDyVN3 (PBE-GGA, relaxed)
# Total energy ... -8.68 eV/atom
# Spin magnetization ... 1.55 μB per cell
# Formation energy (no corrections) ... -1.25 eV/atom
# Density ... 7.0 g cm⁻³
data_CeDyVN3
_chemical_formula_sum 'Ce2 Dy2 V2 N6'
_symmetry_space_group_name_H-M 'P 1 21/m 1'
_symmetry_Int_Tables_number 11
_cell_length_a 7.306
_cell_length_b 3.428
_cell_length_c 7.524
_cell_angle_alpha 90.00
_cell_angle_beta 98.17
_cell_angle_gamma 90.00
loop_
_symmetry_equiv_pos_as_xyz
'x,y,z'
'-x,-y,-z'
'-x,y+1/2,-z'
'x,-y+1/2,z'
loop_
_atom_site_label
_atom_site_fract_x
_atom_site_fract_y
_atom_site_fract_z
Ce1 0.171 0.250 0.172
Dy1 0.365 0.750 0.832
V1 0.090 0.250 0.599
N1 0.120 0.250 0.850
N2 0.169 0.750 0.516
N3 0.393 0.750 0.143

=====

# MgNi5H11 (PBE-GGA, relaxed)
# Total energy ... -3.96 eV/atom
# Spin magnetization ... 0.00 μB per cell
# Density ... 4.7 g cm⁻³
data_MgNi5H11
_chemical_formula_sum 'Mg2 Ni10 H22'
_symmetry_space_group_name_H-M 'C 1 2/m 1'
_symmetry_Int_Tables_number 12
_cell_length_a 6.537
_cell_length_b 7.939
_cell_length_c 4.745
_cell_angle_alpha 90.00
_cell_angle_beta 110.47
_cell_angle_gamma 90.00
loop_
_symmetry_equiv_pos_as_xyz
'x,y,z'
'-x,-y,-z'
'-x,y,-z'
'x,-y,z'
'x+1/2,y+1/2,z'
'-x+1/2,-y+1/2,-z'
'-x+1/2,y+1/2,-z'
'x+1/2,-y+1/2,z'
loop_
_atom_site_label
_atom_site_fract_x
_atom_site_fract_y
_atom_site_fract_z
Mg1 0.000 0.000 0.000
Ni1 0.000 0.500 0.000
Ni2 0.188 0.178 0.708
H1 0.000 0.000 0.500
H2 0.088 0.226 0.347
H3 0.176 0.500 0.341
H4 0.178 0.357 0.928

=====

# Pm12NdCd3 (PBE-GGA, relaxed)
# Total energy ... -4.10 eV/atom
# Spin magnetization ... 0.00 μB per cell
# Density ... 7.3 g cm⁻³
# E_form ... -0.067 eV per atom
data_Pm12NdCd3
_chemical_formula_sum 'Pm12 Nd1 Cd3'
_symmetry_space_group_name_H-M 'P 4/m m m'
_symmetry_Int_Tables_number 123
_symmetry_space_group_name_Hall '-P 4 2'
_cell_length_a 4.985
_cell_length_b 4.985
_cell_length_c 20.241
_cell_angle_alpha 90.00
_cell_angle_beta 90.00
_cell_angle_gamma 90.00
loop_
_atom_site_label
_atom_site_fract_x
_atom_site_fract_y
_atom_site_fract_z
Pm1 0.000 0.000 0.000
Pm2 0.000 0.000 0.244
Pm3 0.000 0.000 0.500
Pm4 0.000 0.500 0.122
Pm5 0.000 0.500 0.368
Nd1 0.500 0.500 0.500
Cd1 0.500 0.500 0.000
Cd2 0.500 0.500 0.243

=====

# CrAs2P (PBE-GGA, relaxed)
# Total energy ... -5.69 eV/atom
# Spin magnetization ... 6.58 μB per cell
# Density ... 5.6 g cm⁻³
# E_form ... 0.396 eV per atom
data_CrAs2P
_chemical_formula_sum 'Cr2 As4 P2'
_symmetry_space_group_name_H-M 'I 4/m m m'
_symmetry_Int_Tables_number 139
_symmetry_space_group_name_Hall '-I 4 2'
_cell_length_a 3.728
_cell_length_b 3.728
_cell_length_c 9.933
_cell_angle_alpha 90.00
_cell_angle_beta 90.00
_cell_angle_gamma 90.00
loop_
_atom_site_label
_atom_site_fract_x
_atom_site_fract_y
_atom_site_fract_z
Cr1 0.000 0.000 0.000
As1 0.000 0.500 0.250
P1 0.000 0.000 0.500

=====

# Rb8CdAu2F (PBE-GGA, relaxed)
# Total energy ... -1.92 eV/atom
# Spin magnetization ... 0.00 μB per cell
# Formation energy (no corrections) ... -0.49 eV/atom
# Density ... 3.3 g cm⁻³
data_Rb8CdAu2F
_chemical_formula_sum 'Rb8 Cd1 Au2 F1'
_symmetry_space_group_name_H-M 'P -1'
_symmetry_Int_Tables_number 2
_cell_length_a 7.806
_cell_length_b 8.550
_cell_length_c 9.237
_cell_angle_alpha 90.06
_cell_angle_beta 102.39
_cell_angle_gamma 94.08
loop_
_symmetry_equiv_pos_as_xyz
'x,y,z'
'-x,-y,-z'
loop_
_atom_site_label
_atom_site_fract_x
_atom_site_fract_y
_atom_site_fract_z
Rb1 0.170 0.229 0.419
Rb2 0.236 0.719 0.335
Rb3 0.270 0.094 0.963
Rb4 0.302 0.584 0.751
Cd1 0.000 0.500 0.000
Au1 0.449 0.962 0.642
F1 0.000 0.500 0.500

=====

# YSi2Ag (PBE-GGA, relaxed)
# Total energy ... -5.09 eV/atom
# Spin magnetization ... 0.22 μB per cell
# Formation energy (no corrections) ... -0.05 eV/atom
# Density ... 5.4 g cm⁻³
data_YSi2Ag
_chemical_formula_sum 'Y1 Si2 Ag1'
_symmetry_space_group_name_H-M 'P m m m'
_symmetry_Int_Tables_number 47
_cell_length_a 3.136
_cell_length_b 3.942
_cell_length_c 6.244
_cell_angle_alpha 90.00
_cell_angle_beta 90.00
_cell_angle_gamma 90.00
loop_
_symmetry_equiv_pos_as_xyz
'x,y,z'
'-x,-y,-z'
'-x,-y,z'
'x,y,-z'
'x,-y,-z'
'-x,y,z'
'-x,y,-z'
'x,-y,z'
loop_
_atom_site_label
_atom_site_fract_x
_atom_site_fract_y
_atom_site_fract_z
Y1 0.000 0.000 0.000
Si1 0.500 0.500 0.301
Ag1 0.000 0.000 0.500

=====

# Ca8AlTl2 (PBE-GGA, relaxed)
# Total energy ... -2.48 eV/atom
# Spin magnetization ... 0.00 μB per cell
# Density ... 3.4 g cm⁻³
# E_form ... -0.254 eV per atom
data_Ca8AlTl2
_chemical_formula_sum 'Ca16 Al2 Tl4'
_symmetry_space_group_name_H-M 'C 1 2/m 1'
_symmetry_Int_Tables_number 12
_cell_length_a 18.760
_cell_length_b 5.475
_cell_length_c 7.616
_cell_angle_alpha 90.00
_cell_angle_beta 111.03
_cell_angle_gamma 90.00
loop_
_symmetry_equiv_pos_as_xyz
'x,y,z'
'-x,-y,-z'
'-x,y,-z'
'x,-y,z'
'x+1/2,y+1/2,z'
'-x+1/2,-y+1/2,-z'
'-x+1/2,y+1/2,-z'
'x+1/2,-y+1/2,z'
loop_
_atom_site_label
_atom_site_fract_x
_atom_site_fract_y
_atom_site_fract_z
Ca1 0.025 0.000 0.287
Ca2 0.098 0.500 0.944
Ca3 0.165 0.500 0.452
Ca4 0.197 0.000 0.791
Al1 0.000 0.500 0.500
Tl1 0.179 0.000 0.192